No. 1
Below is an optimized crystal structure of CaCrIr2, with properties calculated at the PBE level.

```
data_CaCrIr2
_cell_length_a 2.997
_cell_length_b 4.583
_cell_length_c 4.836
_cell_angle_alpha 90.00
_cell_angle_beta 90.00
_cell_angle_gamma 90.00
_symmetry_space_group_name_H-M 'P m m m'
_symmetry_Int_Tables_number 47
_symmetry_space_group_name_Hall '-P 2 2'
loop_
_atom_site_label
_atom_site_type_symbol
_atom_site_fract_x
_atom_site_fract_y
_atom_site_fract_z
_atom_site_occupancy
Ca1 Ca 0.000 0.000 0.000 1
Cr1 Cr 0.500 0.000 0.500 1
Ir1 Ir 0.000 0.500 0.500 1
Ir2 Ir 0.500 0.500 0.000 1
```

- magnetization (μB per formula unit) = 3.871
- ΔE to the lowest computed polymorph (eV/atom) = 0.422
- ΔH_f (0 K) (eV/atom) = 0.294



No. 2
Below is an optimized crystal structure of TcGe3C, with properties calculated at the PBE level.

```
data_TcGe3C
_cell_length_a 4.781
_cell_length_b 4.781
_cell_length_c 4.781
_cell_angle_alpha 90.00
_cell_angle_beta 90.00
_cell_angle_gamma 90.00
_symmetry_space_group_name_H-M 'P m -3 m'
_symmetry_Int_Tables_number 221
_symmetry_space_group_name_Hall '-P 4 2 3'
loop_
_atom_site_label
_atom_site_type_symbol
_atom_site_fract_x
_atom_site_fract_y
_atom_site_fract_z
_atom_site_occupancy
Tc1 Tc 0.000 0.000 0.000 1
Ge1 Ge 0.000 0.000 0.500 1
C1 C 0.500 0.500 0.500 1
```

- magnetization (μB per formula unit) = 2.958
- ΔE to the lowest computed polymorph (eV/atom) = 0.198
- ΔH_f (0 K) (eV/atom) = 1.375



No. 3
Below is an optimized crystal structure of Na2H2Au, with properties calculated at the PBE level.

```
data_Na2H2Au
_cell_length_a 6.613
_cell_length_b 6.613
_cell_length_c 3.165
_cell_angle_alpha 90.00
_cell_angle_beta 90.00
_cell_angle_gamma 90.00
_symmetry_space_group_name_H-M 'P 4/m b m'
_symmetry_Int_Tables_number 127
_symmetry_space_group_name_Hall '-P 4 2ab'
loop_
_atom_site_label
_atom_site_type_symbol
_atom_site_fract_x
_atom_site_fract_y
_atom_site_fract_z
_atom_site_occupancy
Na1 Na 0.154 0.346 0.000 1
H1 H 0.162 0.662 0.500 1
Au1 Au 0.000 0.000 0.500 1
```

- magnetization (μB per formula unit) = 0.000
- calculated total energy (eV/atom) = -2.477